Record 1
Computed, not measured: a relaxed structure of MgCo at the PBE level of DFT.

abc: 2.793 2.793 4.307
angles: 90.00 90.00 120.00
Last column: magnetic moment on the atom in μB.
Positions (direct):
Co1 0.000 0.000 0.000  1.49
Mg1 0.667 0.333 0.500  -0.01

ΔE_f, kJ per mole of atoms: 27.6
Crystal system: hexagonal
Space group: P-6m2 (187)

=====

Record 2
Computed, not measured: a relaxed structure of MgCo at the PBE level of DFT.

abc: 7.171 7.171 7.171
angles: 90.00 90.00 90.00
Last column: magnetic moment on the atom in μB.
Positions (direct):
Mg1 0.250 0.500 0.000  -0.04
Mg2 0.750 0.500 0.000  -0.04
Mg3 0.500 0.000 0.250  -0.04
Mg4 0.500 0.000 0.750  -0.04
Mg5 0.000 0.250 0.500  -0.04
Mg6 0.000 0.750 0.500  -0.04
Co1 0.250 0.000 0.500  1.50
Co2 0.750 0.000 0.500  1.50
Co3 0.000 0.500 0.250  1.50
Co4 0.000 0.500 0.750  1.50
Co5 0.500 0.250 0.000  1.50
Co6 0.500 0.750 0.000  1.50

ΔE_f, kJ per mole of atoms: 149.1
Crystal system: cubic
Space group: Pm-3n (223)

=====

Record 3
Computed, not measured: a relaxed structure of MgCo at the PBE level of DFT.

abc: 4.318 4.318 4.318
angles: 60.00 60.00 60.00
Last column: magnetic moment on the atom in μB.
Positions (direct):
Co1 0.000 0.000 0.000  1.47
Co2 0.750 0.750 0.750  1.47
Mg1 0.500 0.500 0.500  -0.02
Mg2 0.250 0.250 0.250  -0.02

ΔE_f, kJ per mole of atoms: 18.4
Crystal system: cubic
Space group: Fd-3m (227)

=====

Record 4
Computed, not measured: a relaxed structure of MgCo2 at the PBE level of DFT.

abc: 7.233 7.233 4.230
angles: 90.00 90.00 158.71
Last column: magnetic moment on the atom in μB.
Positions (direct):
Mg1 0.295 0.705 0.750  -0.02
Mg2 0.705 0.295 0.250  -0.02
Co1 0.596 0.404 0.750  1.44
Co2 0.955 0.045 0.750  1.59
Co3 0.045 0.955 0.250  1.59
Co4 0.404 0.596 0.250  1.44

ΔE_f, kJ per mole of atoms: 21.5
Crystal system: orthorhombic
Space group: Cmcm (63)

=====

Record 5
Computed, not measured: a relaxed structure of MgCo2 at the PBE level of DFT.

abc: 4.794 4.794 6.045
angles: 72.30 72.30 36.43
Last column: magnetic moment on the atom in μB.
Positions (direct):
Mg1 0.164 0.164 0.187  -0.03
Mg2 0.836 0.836 0.813  -0.03
Co1 0.155 0.155 0.654  1.66
Co2 0.845 0.845 0.346  1.66
Co3 0.500 0.500 0.000  1.41
Co4 0.500 0.500 0.500  1.53

ΔE_f, kJ per mole of atoms: 16.7
Crystal system: monoclinic
Space group: C2/m (12)

=====

Record 6
Computed, not measured: a relaxed structure of MgCo at the PBE level of DFT.

abc: 5.244 5.193 5.193
angles: 146.38 129.77 61.70
Last column: magnetic moment on the atom in μB.
Positions (direct):
Co1 0.058 0.972 0.086  1.49
Co2 0.859 0.278 0.581  1.49
Mg1 0.603 0.518 0.085  -0.02
Mg2 0.313 0.732 0.581  -0.02

ΔE_f, kJ per mole of atoms: 10.3
Crystal system: monoclinic
Space group: C2/m (12)

=====

- Among the records above, which one has the highest ΔE_f?
  number 2

=====

- Among the records above, which one has the highest ΔE_f?
  number 2

=====

- Which value of ΔE_f does entry 5 give?
  16.7 kJ per mole of atoms